Entry 1:
{"formula": "TiGaHg", "functional": "PBE", "state": "relaxed", "lattice": [[-1.795, 1.526, 1.986], [0.734, -2.944, 0.535], [11.113, 4.034, 6.944]], "species": ["Ti", "Hg", "Ga", "Ga", "Hg", "Ti"], "frac_coords": [[0.000, 0.000, 0.000], [0.000, 0.000, 0.671], [0.333, 0.667, 0.846], [0.333, 0.667, 0.154], [0.000, 0.000, 0.329], [0.333, 0.667, 0.500]], "ef_mev_per_atom": -21, "total_energy_ev_per_atom": -3.762}



Entry 2:
{"formula": "MgTl3I", "functional": "PBE", "state": "relaxed", "lattice": [[5.704, 0.000, 0.000], [0.000, 5.704, 0.000], [0.000, 0.000, 5.704]], "species": ["Mg", "Tl", "Tl", "I", "Tl"], "frac_coords": [[0.000, 0.000, 0.000], [0.500, 0.000, 0.000], [0.000, 0.500, 0.000], [0.500, 0.500, 0.500], [0.000, 0.000, 0.500]], "e_form_raw_ev_per_fu": 0.00, "total_energy_ev_per_atom": -2.049}



Entry 3:
{"formula": "Zn2BH", "functional": "PBE", "state": "relaxed", "lattice": [[-1.794, 1.524, 3.021], [-2.856, 2.497, -0.527], [-3.605, -1.017, 0.800]], "species": ["B", "H", "Zn", "Zn"], "frac_coords": [[0.500, 0.500, 0.500], [0.000, 0.000, 0.000], [0.250, 0.250, 0.250], [0.750, 0.750, 0.750]], "total_energy_ev_per_atom": -2.344}



Entry 4:
{"formula": "Sc5Ga5Pd2", "functional": "PBE", "state": "relaxed", "lattice": [[4.232, 0.000, 0.955], [2.287, 7.293, -0.280], [0.528, -1.304, 7.517]], "species": ["Sc", "Sc", "Ga", "Ga", "Sc", "Pd", "Pd", "Sc", "Sc", "Ga", "Ga", "Ga"], "frac_coords": [[0.694, 0.661, 0.950], [0.306, 0.048, 0.339], [0.000, 0.772, 0.229], [0.000, 0.000, 0.000], [0.000, 0.500, 0.500], [0.502, 0.658, 0.338], [0.498, 0.342, 0.662], [0.306, 0.339, 0.050], [0.694, 0.952, 0.661], [0.000, 0.228, 0.771], [0.708, 0.291, 0.294], [0.292, 0.709, 0.706]], "ef_mev_per_atom": -700, "total_energy_ev_per_atom": -5.465}



Entry 5:
{"formula": "LaThIN2", "functional": "PBE", "state": "relaxed", "lattice": [[-3.921, -1.672, -0.598], [-0.759, -0.899, 7.489], [-2.999, 7.628, -1.661]], "species": ["Th", "La", "N", "N", "I", "N", "Th", "La", "N", "I"], "frac_coords": [[0.750, 0.360, 0.594], [0.750, 0.350, 0.084], [0.250, 0.496, 0.133], [0.250, 0.485, 0.612], [0.250, 0.041, 0.752], [0.750, 0.504, 0.867], [0.250, 0.640, 0.406], [0.250, 0.650, 0.916], [0.750, 0.515, 0.388], [0.750, 0.959, 0.248]], "e_form_raw_ev_per_fu": -8.35, "total_energy_ev_per_atom": -7.779}



Entry 6:
{"formula": "BaNaSbI2", "functional": "PBE", "state": "relaxed", "lattice": [[-0.660, -2.259, -6.317], [-1.626, -6.105, 2.352], [-6.702, 1.805, 0.054]], "species": ["Na", "I", "Sb", "I", "Ba"], "frac_coords": [[0.500, 0.500, 0.500], [0.500, 0.000, 0.000], [0.000, 0.000, 0.500], [0.000, 0.500, 0.000], [0.000, 0.000, 0.000]], "e_form_raw_ev_per_fu": -2.89, "total_energy_ev_per_atom": -2.671}